[1]
DFT (GGA+U) results for a geometry-optimized KTaVO4 structure.

Properties
magnetization	3.00	μB per formula unit
raw total energy	-7.890	eV/atom

Cell: 5.682 5.792 8.040 Å, 90.00 110.32 90.00°
Element x y z (fractional)
K: 0.023 0.250 0.144
K: 0.977 0.750 0.856
Ta: 0.412 0.250 0.652
Ta: 0.588 0.750 0.348
V: 0.150 0.750 0.466
V: 0.850 0.250 0.534
O: 0.194 0.010 0.667
O: 0.194 0.490 0.667
O: 0.245 0.750 0.204
O: 0.438 0.250 0.428
O: 0.562 0.750 0.572
O: 0.755 0.250 0.796
O: 0.806 0.510 0.333
O: 0.806 0.990 0.333



[2]
DFT (GGA+U) results for a geometry-optimized KTaWO6 structure.

Properties
magnetization	0.00	μB per formula unit
raw total energy	-7.964	eV/atom

Cell: 7.425 7.425 7.425 Å, 119.91 90.35 119.69°
Element x y z (fractional)
K: 0.160 0.250 0.410
K: 0.840 0.750 0.590
Ta: 0.396 0.396 0.000
Ta: 0.396 0.896 0.500
W: 0.405 0.904 0.001
W: 0.903 0.404 0.999
O: 0.075 0.268 0.940
O: 0.075 0.635 0.307
O: 0.082 0.642 0.940
O: 0.319 0.134 0.685
O: 0.328 0.135 0.060
O: 0.328 0.768 0.693
O: 0.449 0.011 0.306
O: 0.449 0.643 0.938
O: 0.450 0.634 0.315
O: 0.702 0.142 0.060
O: 0.705 0.143 0.694
O: 0.705 0.511 0.062



[3]
DFT (GGA+U) results for a geometry-optimized K2TaW3O12 structure.

Properties
magnetization	1.00	μB per formula unit
raw total energy	-7.507	eV/atom

Cell: 7.400 7.400 7.400 Å, 60.07 60.07 60.07°
Element x y z (fractional)
K: 0.123 0.123 0.123
K: 0.877 0.877 0.877
Ta: 0.500 0.500 0.500
W: 0.000 0.500 0.500
W: 0.500 0.000 0.500
W: 0.500 0.500 0.000
O: 0.184 0.563 0.563
O: 0.188 0.188 0.564
O: 0.188 0.564 0.188
O: 0.436 0.812 0.812
O: 0.437 0.437 0.816
O: 0.437 0.816 0.437
O: 0.563 0.184 0.563
O: 0.563 0.563 0.184
O: 0.564 0.188 0.188
O: 0.812 0.436 0.812
O: 0.812 0.812 0.436
O: 0.816 0.437 0.437